Record 1
VASP calculation (meta-GGA SCAN) on a crystal of Cd2Tc2O7 relaxed with PBEsol.

Summary:
Raw formation energy   -1.50 eV per atom
Uncorrected energy   -382.24 eV for the cell shown

POSCAR file:
```
Cd2Tc2O7
1.0
0.000 5.078 5.078
5.078 0.000 5.078
5.078 5.078 0.000
Cd Tc O
4 4 14
Direct
0.000 0.000 0.000
0.000 0.000 0.500
0.000 0.500 0.000
0.500 0.000 0.000
0.000 0.500 0.500
0.500 0.000 0.500
0.500 0.500 0.000
0.500 0.500 0.500
0.125 0.125 0.125
0.185 0.185 0.565
0.185 0.565 0.185
0.185 0.565 0.565
0.435 0.435 0.815
0.435 0.815 0.435
0.435 0.815 0.815
0.565 0.185 0.185
0.565 0.185 0.565
0.565 0.565 0.185
0.815 0.435 0.435
0.815 0.435 0.815
0.815 0.815 0.435
0.875 0.875 0.875
```

---

Record 2
VASP calculation (meta-GGA SCAN) on a crystal of CdTcTe2O relaxed with PBEsol.

Summary:
Raw formation energy   1.50 eV per atom
Uncorrected energy   -138.71 eV for the cell shown

POSCAR file:
```
CdTcTe2O
1.0
5.400 0.000 0.000
0.000 5.400 0.000
0.000 0.000 5.291
Cd Tc Te O
1 1 2 1
Direct
0.000 0.000 0.000
0.000 0.000 0.500
0.000 0.500 0.000
0.500 0.000 0.000
0.500 0.500 0.500
```

---

Record 3
VASP calculation (meta-GGA SCAN) on a crystal of Cd2Te2O7 relaxed with PBEsol.

Summary:
Raw formation energy   -1.23 eV per atom
Uncorrected energy   -769.83 eV for the cell shown

POSCAR file:
```
Cd2Te2O7
1.0
7.451 0.000 0.000
1.858 8.153 0.000
1.921 0.305 9.673
Cd Te O
8 8 28
Direct
0.000 0.000 0.000
0.190 0.348 0.891
0.258 0.489 0.491
0.307 0.625 0.113
0.500 0.000 0.000
0.693 0.375 0.887
0.742 0.511 0.509
0.810 0.652 0.109
0.042 0.168 0.639
0.121 0.261 0.240
0.375 0.730 0.769
0.446 0.884 0.356
0.554 0.116 0.644
0.625 0.270 0.231
0.879 0.739 0.760
0.958 0.832 0.361
0.005 0.815 0.163
0.043 0.344 0.423
0.058 0.461 0.140
0.114 0.815 0.746
0.206 0.151 0.068
0.207 0.693 0.342
0.211 0.044 0.335
0.241 0.285 0.643
0.317 0.850 0.933
0.357 0.332 0.228
0.366 0.535 0.888
0.412 0.942 0.656
0.428 0.619 0.601
0.494 0.187 0.827
0.506 0.813 0.173
0.572 0.381 0.399
0.588 0.058 0.344
0.634 0.465 0.112
0.643 0.668 0.772
0.683 0.150 0.067
0.759 0.715 0.357
0.789 0.956 0.665
0.793 0.307 0.658
0.794 0.849 0.932
0.886 0.185 0.254
0.942 0.539 0.860
0.957 0.656 0.577
0.995 0.185 0.837
```

---

Record 4
VASP calculation (meta-GGA SCAN) on a crystal of Zn3Cd3Te2O12 relaxed with PBEsol.

Summary:
Raw formation energy   -1.40 eV per atom
Uncorrected energy   -1236.11 eV for the cell shown

POSCAR file:
```
Zn3Cd3Te2O12
1.0
-6.271 6.271 6.271
6.271 -6.271 6.271
6.271 6.271 -6.271
Zn Cd Te O
12 12 8 48
Direct
0.125 0.750 0.875
0.125 0.875 0.250
0.250 0.125 0.875
0.250 0.625 0.375
0.375 0.250 0.625
0.375 0.625 0.750
0.625 0.375 0.250
0.625 0.750 0.375
0.750 0.375 0.625
0.750 0.875 0.125
0.875 0.125 0.750
0.875 0.250 0.125
0.125 0.250 0.375
0.125 0.375 0.750
0.250 0.375 0.125
0.250 0.875 0.625
0.375 0.125 0.250
0.375 0.750 0.125
0.625 0.250 0.875
0.625 0.875 0.750
0.750 0.125 0.375
0.750 0.625 0.875
0.875 0.625 0.250
0.875 0.750 0.625
0.000 0.000 0.000
0.000 0.000 0.500
0.000 0.500 0.000
0.000 0.500 0.500
0.500 0.000 0.000
0.500 0.000 0.500
0.500 0.500 0.000
0.500 0.500 0.500
0.025 0.195 0.119
0.025 0.330 0.905
0.076 0.695 0.670
0.076 0.881 0.405
0.095 0.619 0.424
0.095 0.975 0.670
0.119 0.025 0.195
0.119 0.595 0.924
0.170 0.195 0.576
0.170 0.475 0.595
0.195 0.119 0.025
0.195 0.576 0.170
0.305 0.330 0.924
0.305 0.475 0.381
0.330 0.905 0.025
0.330 0.924 0.305
0.381 0.305 0.475
0.381 0.576 0.905
0.405 0.076 0.881
0.405 0.830 0.525
0.424 0.095 0.619
0.424 0.830 0.805
0.475 0.381 0.305
0.475 0.595 0.170
0.525 0.405 0.830
0.525 0.619 0.695
0.576 0.170 0.195
0.576 0.905 0.381
0.595 0.170 0.475
0.595 0.924 0.119
0.619 0.424 0.095
0.619 0.695 0.525
0.670 0.076 0.695
0.670 0.095 0.975
0.695 0.525 0.619
0.695 0.670 0.076
0.805 0.424 0.830
0.805 0.881 0.975
0.830 0.525 0.405
0.830 0.805 0.424
0.881 0.405 0.076
0.881 0.975 0.805
0.905 0.025 0.330
0.905 0.381 0.576
0.924 0.119 0.595
0.924 0.305 0.330
0.975 0.670 0.095
0.975 0.805 0.881
```

---

Record 5
VASP calculation (meta-GGA SCAN) on a crystal of Ti3CdO relaxed with PBEsol.

Summary:
Raw formation energy   -1.20 eV per atom
Uncorrected energy   -90.75 eV for the cell shown

POSCAR file:
```
Ti3CdO
1.0
4.134 0.000 0.000
0.000 4.134 0.000
0.000 0.000 4.134
Ti Cd O
3 1 1
Direct
0.000 0.000 0.500
0.000 0.500 0.000
0.500 0.000 0.000
0.500 0.500 0.500
0.000 0.000 0.000
```

---

Record 6
VASP calculation (meta-GGA SCAN) on a crystal of Ti2CdO5 relaxed with PBEsol.

Summary:
Raw formation energy   -2.78 eV per atom
Uncorrected energy   -231.68 eV for the cell shown

POSCAR file:
```
Ti2CdO5
1.0
1.844 -5.079 0.000
1.844 5.079 0.000
0.000 0.000 10.584
Ti Cd O
4 2 10
Direct
0.130 0.870 0.566
0.130 0.870 0.934
0.870 0.130 0.066
0.870 0.130 0.434
0.191 0.809 0.250
0.809 0.191 0.750
0.044 0.956 0.104
0.044 0.956 0.396
0.185 0.815 0.750
0.315 0.685 0.052
0.315 0.685 0.448
0.685 0.315 0.552
0.685 0.315 0.948
0.815 0.185 0.250
0.956 0.044 0.604
0.956 0.044 0.896
```

---

Record 7
VASP calculation (meta-GGA SCAN) on a crystal of TlV3Cd4O12 relaxed with PBEsol.

Summary:
Raw formation energy   -1.99 eV per atom
Uncorrected energy   -722.08 eV for the cell shown

POSCAR file:
```
TlV3Cd4O12
1.0
6.501 -6.760 0.000
6.501 6.760 0.000
-3.016 0.000 6.394
Tl V Cd O
2 6 8 24
Direct
0.028 0.972 0.500
0.972 0.028 0.000
0.131 0.353 0.889
0.301 0.703 0.501
0.353 0.131 0.389
0.652 0.880 0.110
0.703 0.301 0.001
0.880 0.652 0.610
0.062 0.382 0.391
0.268 0.742 0.007
0.382 0.062 0.891
0.475 0.488 0.790
0.488 0.475 0.290
0.624 0.938 0.603
0.742 0.268 0.507
0.938 0.624 0.103
0.013 0.669 0.849
0.044 0.402 0.072
0.179 0.179 0.381
0.179 0.179 0.881
0.184 0.732 0.281
0.273 0.821 0.719
0.289 0.522 0.518
0.298 0.482 0.963
0.333 0.999 0.151
0.402 0.044 0.572
0.479 0.717 0.481
0.482 0.298 0.463
0.517 0.724 0.036
0.522 0.289 0.018
0.608 0.971 0.928
0.669 0.013 0.349
0.717 0.479 0.981
0.724 0.517 0.536
0.732 0.184 0.781
0.821 0.273 0.219
0.825 0.829 0.123
0.829 0.825 0.623
0.971 0.608 0.428
0.999 0.333 0.651
```

---

Record 8
VASP calculation (meta-GGA SCAN) on a crystal of V3CdO7 relaxed with PBEsol.

Summary:
Raw formation energy   -2.40 eV per atom
Uncorrected energy   -611.61 eV for the cell shown

POSCAR file:
```
V3CdO7
1.0
10.474 0.000 0.000
0.000 10.223 0.000
0.000 0.000 5.252
V Cd O
12 4 28
Direct
0.187 0.024 0.209
0.187 0.476 0.209
0.214 0.250 0.700
0.286 0.750 0.200
0.313 0.524 0.709
0.313 0.976 0.709
0.687 0.024 0.291
0.687 0.476 0.291
0.714 0.250 0.800
0.786 0.750 0.300
0.813 0.524 0.791
0.813 0.976 0.791
0.078 0.750 0.684
0.422 0.250 0.184
0.578 0.750 0.816
0.922 0.250 0.316
0.040 0.076 0.226
0.040 0.424 0.226
0.059 0.250 0.685
0.219 0.619 0.968
0.219 0.881 0.968
0.223 0.619 0.443
0.223 0.881 0.443
0.277 0.119 0.943
0.277 0.381 0.943
0.281 0.119 0.468
0.281 0.381 0.468
0.441 0.750 0.185
0.460 0.576 0.726
0.460 0.924 0.726
0.540 0.076 0.274
0.540 0.424 0.274
0.559 0.250 0.815
0.719 0.619 0.532
0.719 0.881 0.532
0.723 0.619 0.057
0.723 0.881 0.057
0.777 0.119 0.557
0.777 0.381 0.557
0.781 0.119 0.032
0.781 0.381 0.032
0.941 0.750 0.315
0.960 0.576 0.774
0.960 0.924 0.774
```

---

Record 9
VASP calculation (meta-GGA SCAN) on a crystal of V3Cd5O12 relaxed with PBEsol.

Summary:
Raw formation energy   -1.93 eV per atom
Uncorrected energy   -635.97 eV for the cell shown

POSCAR file:
```
V3Cd5O12
1.0
6.241 -6.868 0.000
6.241 6.868 0.000
-2.893 0.000 6.387
V Cd O
6 10 24
Direct
0.158 0.383 0.867
0.196 0.804 0.750
0.383 0.158 0.367
0.617 0.842 0.633
0.804 0.196 0.250
0.842 0.617 0.133
0.000 0.000 0.000
0.000 0.000 0.500
0.141 0.441 0.377
0.226 0.774 0.250
0.441 0.141 0.877
0.492 0.508 0.250
0.508 0.492 0.750
0.559 0.859 0.123
0.774 0.226 0.750
0.859 0.559 0.623
0.011 0.784 0.761
0.032 0.210 0.800
0.098 0.469 0.685
0.174 0.510 0.107
0.210 0.032 0.300
0.216 0.989 0.739
0.223 0.694 0.528
0.306 0.777 0.972
0.347 0.359 0.882
0.359 0.347 0.382
0.469 0.098 0.185
0.490 0.826 0.393
0.510 0.174 0.607
0.531 0.902 0.815
0.641 0.653 0.618
0.653 0.641 0.118
0.694 0.223 0.028
0.777 0.306 0.472
0.784 0.011 0.261
0.790 0.968 0.700
0.826 0.490 0.893
0.902 0.531 0.315
0.968 0.790 0.200
0.989 0.216 0.239
```

---

Record 10
VASP calculation (meta-GGA SCAN) on a crystal of V2Cd3O8 relaxed with PBEsol.

Summary:
Raw formation energy   -2.00 eV per atom
Uncorrected energy   -404.12 eV for the cell shown

POSCAR file:
```
V2Cd3O8
1.0
6.896 0.000 0.000
0.000 5.358 0.000
0.000 0.000 9.820
V Cd O
4 6 16
Direct
0.000 0.228 0.000
0.000 0.772 0.500
0.500 0.244 0.355
0.500 0.756 0.855
0.242 0.263 0.681
0.242 0.737 0.181
0.500 0.248 0.035
0.500 0.752 0.535
0.758 0.263 0.681
0.758 0.737 0.181
0.000 0.215 0.826
0.000 0.473 0.557
0.000 0.527 0.057
0.000 0.785 0.326
0.210 0.079 0.053
0.210 0.921 0.553
0.309 0.374 0.280
0.309 0.626 0.780
0.500 0.080 0.815
0.500 0.339 0.532
0.500 0.661 0.032
0.500 0.920 0.315
0.691 0.374 0.280
0.691 0.626 0.780
0.790 0.079 0.053
0.790 0.921 0.553
```

---

Record 11
VASP calculation (meta-GGA SCAN) on a crystal of YCdO2 relaxed with PBEsol.

Summary:
Raw formation energy   -1.52 eV per atom
Uncorrected energy   -76.80 eV for the cell shown

POSCAR file:
```
YCdO2
1.0
1.785 1.031 6.418
-1.785 1.031 6.418
0.000 -2.061 6.418
Y Cd O
1 1 2
Direct
0.000 0.000 0.000
0.500 0.500 0.500
0.107 0.107 0.107
0.893 0.893 0.893
```

---

Record 12
VASP calculation (meta-GGA SCAN) on a crystal of ZrCd3O relaxed with PBEsol.

Summary:
Raw formation energy   1.30 eV per atom
Uncorrected energy   -121.69 eV for the cell shown

POSCAR file:
```
ZrCd3O
1.0
5.603 0.000 0.000
0.000 5.603 0.000
0.000 0.000 5.603
Zr Cd O
1 3 1
Direct
0.000 0.000 0.000
0.000 0.000 0.500
0.000 0.500 0.000
0.500 0.000 0.000
0.500 0.500 0.500
```